1.
KSb3Pd3 (GGA-PBE, relaxed); crystal system = cubic; total DFT energy (no corrections) = -30.971 eV per formula unit; calculated density = 5.942 g/cm3; total magnetic moment = 0.00 μB/f.u.; energy above the most stable polymorph in this dataset = 0.42 eV per formula unit; formation energy without anion corrections = -1.9 eV per formula unit
1.0
7.395 0.000 0.000
0.000 7.395 0.000
0.000 0.000 7.395
K Sb Pd
2 6 6
Cartesian
0.000 0.000 0.000
3.698 3.698 3.698
0.000 1.849 3.698
0.000 5.546 3.698
1.849 3.698 0.000
3.698 0.000 1.849
3.698 0.000 5.546
5.546 3.698 0.000
0.000 3.698 1.849
0.000 3.698 5.546
1.849 0.000 3.698
3.698 1.849 0.000
3.698 5.546 0.000
5.546 0.000 3.698

2.
KAlTl (GGA-PBE, relaxed); crystal system = monoclinic; total DFT energy (no corrections) = -6.985 eV per formula unit; calculated density = 4.493 g/cm3; total magnetic moment = 0.00 μB/f.u.; energy above the most stable polymorph in this dataset = 0.18 eV per formula unit; formation enthalpy at 0 K = 0.0739 eV/atom
1.0
5.084 0.000 0.000
0.000 4.699 0.000
-0.417 0.000 8.369
K Al Tl
2 2 2
Cartesian
0.000 0.000 0.000
2.171 2.349 5.764
2.262 0.000 2.818
2.725 2.349 1.400
0.164 2.349 2.679
4.607 0.000 4.650

3.
AcTl2Ag (GGA-PBE, relaxed); crystal system = trigonal; total DFT energy (no corrections) = -12.549 eV per formula unit; calculated density = 10.547 g/cm3; total magnetic moment = 0.00 μB/f.u.; energy above the most stable polymorph in this dataset = 0.14 eV per formula unit; formation enthalpy at 0 K = -0.2141 eV/atom
1.0
2.507 1.447 5.379
-2.507 1.447 5.379
0.000 -2.894 5.379
Ac Tl Ag
1 2 1
Cartesian
0.000 0.000 0.000
0.000 0.000 3.610
0.000 0.000 12.527
0.000 0.000 8.069

4.
SrCr2Rh (GGA-PBE, relaxed); crystal system = orthorhombic; total DFT energy (no corrections) = -26.049 eV per formula unit; calculated density = 6.192 g/cm3; total magnetic moment = 0.29 μB/f.u.; energy above the most stable polymorph in this dataset = 1.15 eV per formula unit; formation enthalpy at 0 K = 0.5576 eV/atom
1.0
-2.145 2.507 3.671
2.145 -2.507 3.671
2.145 2.507 -3.671
Sr Cr Rh
1 2 1
Cartesian
0.000 0.000 0.000
0.000 0.000 3.550
0.000 2.507 1.603
2.145 0.000 2.041

5.
Re2TcBr (GGA-PBE, relaxed); crystal system = orthorhombic; total DFT energy (no corrections) = -33.568 eV per formula unit; calculated density = 13.304 g/cm3; total magnetic moment = 0.00 μB/f.u.; energy above the most stable polymorph in this dataset = 1.10 eV per formula unit; formation energy without anion corrections = 3.4 eV per formula unit
1.0
1.433 -2.372 0.000
1.433 2.372 0.000
0.000 0.000 10.104
Re Tc Br
2 1 1
Cartesian
0.000 0.000 0.000
1.433 0.000 2.230
1.433 0.000 7.899
0.000 0.000 5.398

6.
Y2Zn5Ga (GGA-PBE, relaxed); crystal system = orthorhombic; total DFT energy (no corrections) = -25.607 eV per formula unit; calculated density = 6.275 g/cm3; total magnetic moment = 0.00 μB/f.u.; formation enthalpy at 0 K = -0.4102 eV/atom
1.0
2.163 -7.966 0.000
2.163 7.966 0.000
0.000 0.000 8.826
Y Zn Ga
4 10 2
Cartesian
0.000 0.000 0.000
0.000 0.000 4.413
2.163 4.789 6.619
2.163 -4.789 2.206
2.163 4.970 0.942
2.163 4.970 3.471
2.163 2.370 0.205
2.163 2.370 4.208
2.163 1.610 6.619
2.163 -1.610 2.206
2.163 -2.370 4.618
2.163 -2.370 8.621
2.163 -4.970 5.354
2.163 -4.970 7.884
2.163 0.853 2.206
2.163 -0.853 6.619